This record from Alexandria describes an optimized crystal structure of AcMn2GaO8. The functional is PBE+U.

As for the space group: P-3. Its final energy is -6.74 eV per atom.

Cell: 5.1786 5.1786 7.1000 Å, 90.00 90.00 120.00°
Last column: nearest neighbours and their distance in Å.
Fractional positions:
O 0.6877 0.7383 0.6817  1 Mn 1.72
O 0.2617 0.9494 0.6817  1 Mn 1.72
O 0.7383 0.0506 0.3183  1 Mn 1.72
Mn 0.6667 0.3333 0.2657  4 O 1.70-1.72
O 0.9494 0.6877 0.3183  1 Mn 1.72
O 0.0506 0.3123 0.6817  1 Mn 1.72
Mn 0.3333 0.6667 0.7343  4 O 1.70-1.72
O 0.3123 0.2617 0.3183  1 Mn 1.72
O 0.3333 0.6667 0.9738  1 Mn 1.70
O 0.6667 0.3333 0.0262  1 Mn 1.70
Ga 0.0000 0.0000 0.5000  6 O 1.98
Ac 0.0000 0.0000 0.0000  12 O 2.71-3.00